Density functional theory data (PBE) for a geometry-optimized Sc3HgN structure.

a b c (Å): 5.463 6.588 6.328
angles (deg): 90.10 90.06 52.92
Atoms (fractional coordinates):
Sc  0.361  0.226  0.234
Sc  0.361  0.727  0.716
Sc  0.361  0.726  0.234
Sc  0.861  0.227  0.475
Sc  0.361  0.227  0.716
Sc  0.861  0.727  0.475
Hg  0.861  0.227  0.974
Hg  0.861  0.727  0.975
N  0.361  0.477  0.475
N  0.361  0.977  0.475

Values from the calculation:
D(E_F) = 7.62 states/eV per cell
Space group = P2/m
Formation energy from raw total energies = -0.9501 eV per atom
Mass density = 6.39 g/cm³
Magnetic moment = 0.00 μB/f.u.
Electronic total energy = -6.474 eV per atom
V = 182 Å³ per cell